Here is crystalline Nd3PdRh8 at its relaxed geometry from Alexandria. Energies are from PBE.

Output
Volume, A^3/atom: 18.1
M_tot, μB per formula unit: 0.000
Formation energy, kcal/mol of atoms: -10.86
Final energy, eV per atom: -7.00
N(E_F), states/eV/atom: 1.319

Unit cell a=5.356 b=5.356 c=9.288 alpha=73.24 beta=73.24 gamma=60.00
Element x y z (fractional)
Rh: 0.311 0.311 0.066
Pd: 0.133 0.133 0.601
Rh: 0.563 0.563 0.813
Nd: 0.623 0.623 0.130
Rh: 0.560 0.061 0.319
Rh: 0.061 0.061 0.319
Rh: 0.061 0.560 0.319
Nd: 0.010 0.010 0.970
Rh: 0.563 0.062 0.813
Rh: 0.811 0.811 0.566
Nd: 0.493 0.493 0.522
Rh: 0.062 0.563 0.813

Here is crystalline Nd2Sb4Pd3Rh at its relaxed geometry from Alexandria. Energies are from PBE.

Output
Volume, A^3/atom: 22.6
Uncorrected formation energy, eV per atom: -0.788
M_tot, μB per formula unit: 0.000
Final energy, eV per atom: -5.68
N(E_F), states/eV/atom: 0.453

Unit cell a=4.556 b=4.556 c=10.889 alpha=90.00 beta=90.00 gamma=90.00
Element x y z (fractional)
Rh: 0.500 0.500 0.500
Pd: 0.000 0.500 0.135
Sb: 0.500 0.000 0.627
Nd: 0.500 0.000 0.266
Pd: 0.000 0.000 0.500
Nd: 0.000 0.500 0.734
Pd: 0.500 0.000 0.865
Sb: 0.000 0.500 0.373
Sb: 0.000 0.000 0.000
Sb: 0.500 0.500 0.000

Here is crystalline NdSi2PdRh at its relaxed geometry from Alexandria. Energies are from PBE.

Output
Volume, A^3/atom: 17.4
Uncorrected formation energy, eV per atom: -0.975
M_tot, μB per formula unit: 0.000
Final energy, eV per atom: -6.61
N(E_F), states/eV/atom: 0.717

Unit cell a=4.136 b=4.136 c=5.874 alpha=110.61 beta=110.61 gamma=90.00
Element x y z (fractional)
Rh: 0.750 0.250 0.500
Si: 0.619 0.619 0.237
Nd: 0.000 0.000 0.000
Si: 0.381 0.381 0.763
Pd: 0.250 0.750 0.500

Here is crystalline Nd3Si6Pd2Rh at its relaxed geometry from Alexandria. Energies are from PBE.

Output
Volume, A^3/atom: 19.7
Uncorrected formation energy, eV per atom: -0.521
M_tot, μB per formula unit: 0.000
Final energy, eV per atom: -5.90
N(E_F), states/eV/atom: 0.528

Unit cell a=5.870 b=5.870 c=7.934 alpha=90.00 beta=90.00 gamma=120.00
Element x y z (fractional)
Si: 0.195 0.805 0.309
Pd: 0.667 0.333 0.949
Si: 0.611 0.805 0.309
Si: 0.805 0.195 0.691
Si: 0.195 0.389 0.309
Pd: 0.333 0.667 0.051
Nd: 0.667 0.333 0.344
Nd: 0.000 0.000 0.000
Nd: 0.333 0.667 0.656
Si: 0.805 0.611 0.691
Si: 0.389 0.195 0.691
Rh: 0.000 0.000 0.500

Here is crystalline NdSiPdRh at its relaxed geometry from Alexandria. Energies are from PBE.

Output
Volume, A^3/atom: 19.7
Uncorrected formation energy, eV per atom: -0.550
M_tot, μB per formula unit: 0.000
Final energy, eV per atom: -6.23
N(E_F), states/eV/atom: 0.513

Unit cell a=4.411 b=3.587 c=5.292 alpha=109.81 beta=90.00 gamma=90.00
Element x y z (fractional)
Si: 0.000 0.584 0.167
Rh: 0.000 0.919 0.838
Nd: 0.500 0.228 0.456
Pd: 0.500 0.497 0.994

Here is crystalline Nd2Si4PdRh3 at its relaxed geometry from Alexandria. Energies are from PBE.

Output
Volume, A^3/atom: 17.5
Uncorrected formation energy, eV per atom: -0.992
M_tot, μB per formula unit: 0.000
Final energy, eV per atom: -6.84
N(E_F), states/eV/atom: 0.707

Unit cell a=4.188 b=4.188 c=9.969 alpha=90.00 beta=90.00 gamma=90.00
Element x y z (fractional)
Nd: 0.000 0.500 0.759
Rh: 0.000 0.500 0.124
Si: 0.500 0.000 0.634
Rh: 0.000 0.000 0.500
Pd: 0.500 0.500 0.500
Si: 0.000 0.000 0.000
Nd: 0.500 0.000 0.241
Rh: 0.500 0.000 0.876
Si: 0.500 0.500 0.000
Si: 0.000 0.500 0.366

Here is crystalline NdSnPdRh at its relaxed geometry from Alexandria. Energies are from PBE.

Output
Volume, A^3/atom: 20.2
M_tot, μB per formula unit: 0.000
Formation energy, kcal/mol of atoms: -15.86
Final energy, eV per atom: -6.02
N(E_F), states/eV/atom: 0.676

Unit cell a=4.849 b=4.849 c=4.849 alpha=60.00 beta=60.00 gamma=60.00
Element x y z (fractional)
Pd: 0.500 0.500 0.500
Sn: 0.250 0.250 0.250
Nd: 0.750 0.750 0.750
Rh: 0.000 0.000 0.000

Here is crystalline SrNdPdRh at its relaxed geometry from Alexandria. Energies are from PBE.

Output
Volume, A^3/atom: 23.7
M_tot, μB per formula unit: 0.000
Formation energy, kcal/mol of atoms: -11.46
Final energy, eV per atom: -5.25
N(E_F), states/eV/atom: 0.601

Unit cell a=5.115 b=5.115 c=5.115 alpha=60.00 beta=60.00 gamma=60.00
Element x y z (fractional)
Pd: 0.000 0.000 0.000
Nd: 0.750 0.750 0.750
Rh: 0.500 0.500 0.500
Sr: 0.250 0.250 0.250

Here is crystalline TbNdPdRh at its relaxed geometry from Alexandria. Energies are from PBE.

Output
Polymorph energy (0 for the lowest one), meV per atom: 35.7
Volume, A^3/atom: 22.0
M_tot, μB per formula unit: 0.000
Formation energy, kcal/mol of atoms: -17.72
Final energy, eV per atom: -6.25
N(E_F), states/eV/atom: 0.738

Unit cell a=4.995 b=4.995 c=4.995 alpha=60.00 beta=60.00 gamma=60.00
Element x y z (fractional)
Tb: 0.500 0.500 0.500
Nd: 0.000 0.000 0.000
Rh: 0.250 0.250 0.250
Pd: 0.750 0.750 0.750

Here is crystalline TbNdPdRh at its relaxed geometry from Alexandria. Energies are from PBE.

Output
Polymorph energy (0 for the lowest one), meV per atom: 0.0
Volume, A^3/atom: 22.9
M_tot, μB per formula unit: 0.000
Formation energy, kcal/mol of atoms: -18.55
Final energy, eV per atom: -6.29
N(E_F), states/eV/atom: 0.675

Unit cell a=3.797 b=4.496 c=5.685 alpha=90.00 beta=109.51 gamma=90.00
Element x y z (fractional)
Rh: 0.409 0.000 0.819
Tb: 0.865 0.500 0.729
Pd: 0.583 0.500 0.167
Nd: 0.142 0.000 0.285

Here is crystalline NdThPdRh at its relaxed geometry from Alexandria. Energies are from PBE.

Output
Polymorph energy (0 for the lowest one), meV per atom: 0.0
Volume, A^3/atom: 24.0
M_tot, μB per formula unit: 0.000
Formation energy, kcal/mol of atoms: -19.53
Final energy, eV per atom: -7.03
N(E_F), states/eV/atom: 0.630

Unit cell a=3.908 b=4.240 c=6.104 alpha=90.00 beta=108.67 gamma=90.00
Element x y z (fractional)
Pd: 0.587 0.500 0.174
Rh: 0.401 0.000 0.802
Th: 0.869 0.500 0.738
Nd: 0.143 0.000 0.286

Here is crystalline NdThPdRh at its relaxed geometry from Alexandria. Energies are from PBE.

Output
Polymorph energy (0 for the lowest one), meV per atom: 164.7
Volume, A^3/atom: 23.1
M_tot, μB per formula unit: 0.000
Formation energy, kcal/mol of atoms: -15.73
Final energy, eV per atom: -6.87
N(E_F), states/eV/atom: 1.404

Unit cell a=5.076 b=5.076 c=5.076 alpha=60.00 beta=60.00 gamma=60.00
Element x y z (fractional)
Th: 0.750 0.750 0.750
Rh: 0.500 0.500 0.500
Nd: 0.250 0.250 0.250
Pd: 0.000 0.000 0.000